Entry 1:
Computed, not measured: a geometry-optimized Sc4GeAuO structure at the PBE level of DFT.

```
Sc4GeAuO
1.0
-3.3474 3.7850 3.2833
-4.9113 -3.2108 -1.3057
2.7840 -5.9564 4.1752
Ge Au O Sc
2 2 2 8
direct
0.3861 0.2500 0.7722
0.6139 0.7500 0.2278
0.8849 0.7500 0.7698
0.1151 0.2500 0.2302
0.7492 0.2500 0.4983
0.2508 0.7500 0.5017
0.5000 0.0000 0.5000
0.5000 0.5000 0.5000
0.4207 0.7500 0.8414
0.0000 0.5000 0.5000
0.5793 0.2500 0.1586
0.9266 0.2500 0.8531
0.0734 0.7500 0.1469
0.0000 0.0000 0.5000
```

uncorrected formation energy: -1.3686 eV per atom
V: 18.58 Å³ per atom
N(E_F): 0.578 states/eV/atom
total energy: -6.823 eV/atom

***

Entry 2:
Computed, not measured: a geometry-optimized Sc2NbInGa structure at the PBE level of DFT.

```
Sc2NbInGa
1.0
-2.0299 0.4326 -4.5881
0.3917 -4.8252 -0.6283
-4.5907 -0.6294 1.9717
Ga In Sc Nb
1 1 2 1
direct
0.0000 0.0000 0.0000
0.0000 0.5000 0.0000
0.5000 0.0000 0.0000
0.0000 0.0000 0.5000
0.5000 0.5000 0.5000
```

formation energy: 651 meV/atom
V: 24.76 Å³ per atom
N(E_F): 0.881 states/eV/atom
total energy: -5.049 eV/atom

***

Which formula does entry 2 have? Sc2NbInGa

***

What did the first record say?
Computed, not measured: a geometry-optimized Sc4GeAuO structure at the PBE level of DFT.

```
Sc4GeAuO
1.0
-3.3474 3.7850 3.2833
-4.9113 -3.2108 -1.3057
2.7840 -5.9564 4.1752
Ge Au O Sc
2 2 2 8
direct
0.3861 0.2500 0.7722
0.6139 0.7500 0.2278
0.8849 0.7500 0.7698
0.1151 0.2500 0.2302
0.7492 0.2500 0.4983
0.2508 0.7500 0.5017
0.5000 0.0000 0.5000
0.5000 0.5000 0.5000
0.4207 0.7500 0.8414
0.0000 0.5000 0.5000
0.5793 0.2500 0.1586
0.9266 0.2500 0.8531
0.0734 0.7500 0.1469
0.0000 0.0000 0.5000
```

uncorrected formation energy: -1.3686 eV per atom
V: 18.58 Å³ per atom
N(E_F): 0.578 states/eV/atom
total energy: -6.823 eV/atom